Computed, not measured: crystalline Pr2YNpO8 at its relaxed geometry at the PBE level of DFT.

Structure (POSCAR):
```
Pr2YNpO8
1.0
3.9644 0.0000 0.0000
0.0000 7.6136 0.0000
-0.4674 0.0000 5.5652
Pr Y Np O
2 1 1 8
Cartesian
0.0000 1.8490 0.0000
0.0000 5.7646 0.0000
1.7485 0.0000 2.7826
1.7485 3.8068 2.7826
-0.0812 0.0000 1.4203
0.0985 3.8068 1.5909
1.4994 2.1351 4.0470
1.4994 5.4785 4.0470
1.9975 2.1351 1.5182
1.9975 5.4785 1.5182
3.3985 3.8068 3.9743
3.5781 0.0000 4.1450
```

Results
Its density of states at the Fermi level is 0.01 states/eV per atom. The energy relative to the elements, uncorrected comes out at -3100 meV per atom. As for the total energy: -8.819 eV per atom. The calculation puts the magnetization at 0.00 Bohr magnetons per cell. As for the space-group type: P2/m, No. 10.